Entry 1:
Here is ScNb3Sb after structural relaxation from Alexandria via LeMat-Bulk. Energies are from GGA-PBE.

The volume is 25.752 Å³ per atom. Its relative energy among the computed polymorphs is 0.000 eV/atom. As for the energy relative to the elements, uncorrected: 1.15 eV/atom. As for the total energy: -6.983 eV/atom. The density of states at the Fermi level is 7.8 states/eV/cell.

The space group is Pm-3m (No. 221) and the conventional cell measures 5.050, 5.050 and 5.050 Å, with angles of 90.00, 90.00 and 90.00 degrees. Symmetry generates all atoms from Sc at (0.000, 0.000, 0.000), Nb at (0.000, 0.500, 0.500) and Sb at (0.500, 0.500, 0.500).


Entry 2:
Here is VSbPdCl2 after structural relaxation from Alexandria via LeMat-Bulk. Energies are from GGA-PBE.

The volume is 21.715 Å³ per atom. As for the energy relative to the elements, uncorrected: 0.01 eV/atom. As for the total energy: -4.418 eV/atom. The density of states at the Fermi level is 5.1 states/eV/cell.

The space group is P4/mmm (No. 123) and the conventional cell measures 4.388, 4.388 and 5.640 Å, with angles of 90.00, 90.00 and 90.00 degrees. Symmetry generates all atoms from V at (0.000, 0.000, 0.000), Sb at (0.500, 0.500, 0.500), Pd at (0.000, 0.000, 0.500) and Cl at (0.000, 0.500, 0.000).


Entry 3:
Here is CdOsBr2 after structural relaxation from Alexandria via LeMat-Bulk. Energies are from GGA-PBE.

The volume is 23.309 Å³ per atom. Its relative energy among the computed polymorphs is 0.319 eV/atom. As for the energy relative to the elements, uncorrected: 0.55 eV/atom. As for the total energy: -3.322 eV/atom. The density of states at the Fermi level is 9.0 states/eV/cell.

The space group is Cmm2 (No. 35) and the conventional cell measures 3.235, 5.871 and 9.818 Å, with angles of 90.00, 90.00 and 90.00 degrees. Symmetry generates all atoms from Cd at (0.000, 0.000, 0.000), Os at (0.000, 0.500, 0.231), Br at (0.000, 0.000, 0.420) and Br at (0.000, 0.500, 0.774).


Entry 4:
Here is MgTiPO5 after structural relaxation from Alexandria via LeMat-Bulk. Energies are from GGA-PBE.

The volume is 12.148 Å³ per atom. As for the energy relative to the elements, uncorrected: -2.56 eV/atom. As for the total energy: -7.517 eV/atom. The density of states at the Fermi level is 7.8 states/eV/cell.

The space group is C2/c (No. 15) and the conventional cell measures 7.455, 8.304 and 7.034 Å, with angles of 90.00, 116.79 and 90.00 degrees. Symmetry generates all atoms from Mg at (0.000, 0.184, 0.250), Ti at (0.000, 0.500, 0.000), P at (0.000, 0.138, 0.750), O at (0.000, 0.416, 0.250), O at (0.020, 0.243, 0.578) and O at (0.179, 0.015, 0.851).


Entry 5:
Here is ErCu9Si2 after structural relaxation from Alexandria via LeMat-Bulk. Energies are from GGA-PBE.

The volume is 13.436 Å³ per atom. As for the energy relative to the elements, uncorrected: -0.20 eV/atom. As for the total energy: -4.561 eV/atom. The density of states at the Fermi level is 26.6 states/eV/cell.

The space group is I4_1/amd (No. 141, origin choice 2) and the conventional cell measures 10.030, 10.030 and 6.411 Å, with angles of 90.00, 90.00 and 90.00 degrees. Symmetry generates all atoms from Er at (0.000, 0.250, 0.375), Cu at (0.000, 0.250, 0.875), Cu at (0.122, 0.046, 0.684) and Si at (0.000, 0.000, 0.000).


Entry 6:
Here is NaBPb after structural relaxation from Alexandria via LeMat-Bulk. Energies are from GGA-PBE.

The volume is 19.653 Å³ per atom. As for the total energy: -3.245 eV/atom. The density of states at the Fermi level is 1.5 states/eV/cell. Its formation energy is 0.66 eV per atom.

The space group is Pnma (No. 62) and the conventional cell measures 7.587, 4.379 and 7.098 Å, with angles of 90.00, 90.00 and 90.00 degrees. Symmetry generates all atoms from Na at (0.037, 0.250, 0.168), B at (0.171, 0.750, 0.404) and Pb at (0.165, 0.250, 0.596).


Entry 7:
Here is CaIrW2 after structural relaxation from Alexandria via LeMat-Bulk. Energies are from GGA-PBE.

The volume is 17.262 Å³ per atom. Its relative energy among the computed polymorphs is 0.213 eV/atom. As for the total energy: -8.686 eV/atom. The density of states at the Fermi level is 3.3 states/eV/cell. Its formation energy is 0.51 eV per atom.

The space group is P2/m (No. 10) and the conventional cell measures 2.807, 4.778 and 5.246 Å, with angles of 90.00, 101.06 and 90.00 degrees. Symmetry generates all atoms from Ca at (0.000, 0.000, 0.000), Ir at (0.500, 0.000, 0.500) and W at (0.269, 0.500, 0.747).


Entry 8:
Here is Zn7NiPt3 after structural relaxation from Alexandria via LeMat-Bulk. Energies are from GGA-PBE.

The volume is 18.527 Å³ per atom. As for the total energy: -3.284 eV/atom. The density of states at the Fermi level is 14.6 states/eV/cell. Its formation energy is -0.30 eV per atom.

The space group is Cmcm (No. 63) and the conventional cell measures 2.789, 28.083 and 10.408 Å, with angles of 90.00, 90.00 and 90.00 degrees. Symmetry generates all atoms from Zn at (0.000, 0.012, 0.125), Zn at (0.000, 0.081, 0.750), Zn at (0.000, 0.123, 0.094), Zn at (0.000, 0.227, 0.086), Ni at (0.000, 0.429, 0.750), Pt at (0.000, 0.322, 0.750) and Pt at (0.000, 0.435, 0.045).


Entry 9:
Here is CaHfTc after structural relaxation from Alexandria via LeMat-Bulk. Energies are from GGA-PBE.

The volume is 23.020 Å³ per atom. Its relative energy among the computed polymorphs is 0.144 eV/atom. As for the total energy: -7.374 eV/atom. The density of states at the Fermi level is 7.9 states/eV/cell. Its formation energy is 0.07 eV per atom.

The space group is I4mm (No. 107) and the conventional cell measures 3.416, 3.416 and 11.837 Å, with angles of 90.00, 90.00 and 90.00 degrees. Symmetry generates all atoms from Ca at (0.000, 0.000, 0.000), Hf at (0.000, 0.000, 0.728) and Tc at (0.000, 0.000, 0.327).


Entry 10:
Here is LaTlCl2 after structural relaxation from Alexandria via LeMat-Bulk. Energies are from GGA-PBE.

The volume is 26.108 Å³ per atom. Its relative energy among the computed polymorphs is 0.226 eV/atom. As for the energy relative to the elements, uncorrected: -1.20 eV/atom. As for the total energy: -3.946 eV/atom. The density of states at the Fermi level is 6.0 states/eV/cell.

The space group is I4/mmm (No. 139) and the conventional cell measures 4.806, 4.806 and 9.042 Å, with angles of 90.00, 90.00 and 90.00 degrees. Symmetry generates all atoms from La at (0.000, 0.000, 0.000), Tl at (0.000, 0.000, 0.500) and Cl at (0.000, 0.500, 0.250).


Entry 11:
Here is Ni4Ge after structural relaxation from Alexandria via LeMat-Bulk. Energies are from GGA-PBE.

The volume is 15.602 Å³ per atom. Its relative energy among the computed polymorphs is 0.868 eV/atom. As for the total energy: -4.699 eV/atom. The density of states at the Fermi level is 10.6 states/eV/cell. Its formation energy is 0.85 eV per atom.

The space group is Pm-3m (No. 221) and the conventional cell measures 4.273, 4.273 and 4.273 Å, with angles of 90.00, 90.00 and 90.00 degrees. Symmetry generates all atoms from Ni at (0.000, 0.000, 0.000), Ni at (0.000, 0.500, 0.500) and Ge at (0.500, 0.500, 0.500).


Entry 12:
Here is LiBiPd2 after structural relaxation from Alexandria via LeMat-Bulk. Energies are from GGA-PBE.

The volume is 17.588 Å³ per atom. As for the total energy: -4.448 eV/atom. The density of states at the Fermi level is 2.6 states/eV/cell. Its formation energy is -0.40 eV per atom.

The space group is P4/mmm (No. 123) and the conventional cell measures 4.274, 4.274 and 3.851 Å, with angles of 90.00, 90.00 and 90.00 degrees. Symmetry generates all atoms from Li at (0.000, 0.000, 0.000), Bi at (0.500, 0.500, 0.000) and Pd at (0.000, 0.500, 0.500).


Entry 13:
Here is ZrPtAu4 after structural relaxation from Alexandria via LeMat-Bulk. Energies are from GGA-PBE.

The volume is 18.740 Å³ per atom. As for the total energy: -4.757 eV/atom. The density of states at the Fermi level is 17.4 states/eV/cell. Its formation energy is -0.14 eV per atom.

The space group is F-43m (No. 216) and the conventional cell measures 7.662, 7.662 and 7.662 Å, with angles of 90.00, 90.00 and 90.00 degrees. Symmetry generates all atoms from Zr at (0.000, 0.000, 0.000), Pt at (0.250, 0.250, 0.250) and Au at (0.125, 0.125, 0.625).


Entry 14:
Here is InHgTe after structural relaxation from Alexandria via LeMat-Bulk. Energies are from GGA-PBE.

The volume is 32.116 Å³ per atom. Its relative energy among the computed polymorphs is 0.043 eV/atom. As for the energy relative to the elements, uncorrected: -0.12 eV/atom. As for the total energy: -2.180 eV/atom. The density of states at the Fermi level is 4.1 states/eV/cell.

The space group is P2_1/c (No. 14) and the conventional cell measures 7.724, 7.418 and 7.769 Å, with angles of 90.00, 120.03 and 90.00 degrees. Symmetry generates all atoms from In at (0.105, 0.147, 0.257), Hg at (0.222, 0.710, 0.678) and Te at (0.355, 0.091, 0.691).


Entry 15:
Here is Te2HPd after structural relaxation from Alexandria via LeMat-Bulk. Energies are from GGA-PBE.

The volume is 21.750 Å³ per atom. Its relative energy among the computed polymorphs is 0.121 eV/atom. As for the total energy: -3.639 eV/atom. The density of states at the Fermi level is 3.0 states/eV/cell.

The space group is Pna2_1 (No. 33) and the conventional cell measures 5.851, 7.412 and 8.024 Å, with angles of 90.00, 90.00 and 90.00 degrees. Symmetry generates all atoms from Te at (0.009, 0.037, 0.000), Te at (0.095, 0.485, 0.784), H at (0.095, 0.826, 0.657) and Pd at (0.200, 0.719, 0.072).